1.
# ErSiRu (SCAN, PBEsol geometry)
# * uncorrected energy: -391.94 eV for the cell shown
# * Fermi-level density of states: 9.1 states/eV/cell
# * spin magnetization: 0.0 μB per formula unit
# * formation energy (no corrections): -0.9346 eV/atom
data_ErSiRu
_chemical_formula_sum 'Er4 Si4 Ru4'
_space_group_name_H-M_alt 'P n m a'
_space_group_IT_number 62
_cell_length_a 6.859
_cell_length_b 4.265
_cell_length_c 6.987
_cell_angle_alpha 90.00
_cell_angle_beta 90.00
_cell_angle_gamma 90.00
loop_
_space_group_symop_operation_xyz
'x,y,z'
'-x,-y,-z'
'-x+1/2,-y,z+1/2'
'x+1/2,y,-z+1/2'
'x+1/2,-y+1/2,-z+1/2'
'-x+1/2,y+1/2,z+1/2'
'-x,y+1/2,-z'
'x,-y+1/2,z'
loop_
_atom_site_label
_atom_site_type_symbol
_atom_site_fract_x
_atom_site_fract_y
_atom_site_fract_z
Er1 Er 0.014 0.250 0.187
Si1 Si 0.197 0.250 0.608
Ru1 Ru 0.154 0.750 0.434

2.
# ErSnRu2 (SCAN, PBEsol geometry)
# * uncorrected energy: -630.85 eV for the cell shown
# * formation energy: -0.449 eV/atom
# * Fermi-level density of states: 18.5 states/eV/cell
# * spin magnetization: 0.0 μB per formula unit
data_ErSnRu2
_chemical_formula_sum 'Er4 Sn4 Ru8'
_space_group_name_H-M_alt 'F m -3 m'
_space_group_IT_number 225
_space_group_name_Hall '-F 4 2 3'
_cell_length_a 6.476
_cell_length_b 6.476
_cell_length_c 6.476
_cell_angle_alpha 90.00
_cell_angle_beta 90.00
_cell_angle_gamma 90.00
loop_
_atom_site_label
_atom_site_type_symbol
_atom_site_fract_x
_atom_site_fract_y
_atom_site_fract_z
Er1 Er 0.000 0.000 0.000
Sn1 Sn 0.000 0.000 0.500
Ru1 Ru 0.250 0.250 0.250

3.
# Er5S7 (SCAN, PBEsol geometry)
# * uncorrected energy: -694.37 eV for the cell shown
# * Fermi-level density of states: 2.4 states/eV/cell
# * spin magnetization: 0.0 μB per formula unit
# * formation energy (no corrections): -2.3406 eV/atom
data_Er5S7
_chemical_formula_sum 'Er10 S14'
_space_group_name_H-M_alt 'C 1 2/m 1'
_space_group_IT_number 12
_cell_length_a 12.533
_cell_length_b 3.721
_cell_length_c 11.351
_cell_angle_alpha 90.00
_cell_angle_beta 104.61
_cell_angle_gamma 90.00
loop_
_space_group_symop_operation_xyz
'x,y,z'
'-x,-y,-z'
'-x,y,-z'
'x,-y,z'
'x+1/2,y+1/2,z'
'-x+1/2,-y+1/2,-z'
'-x+1/2,y+1/2,-z'
'x+1/2,-y+1/2,z'
loop_
_atom_site_label
_atom_site_type_symbol
_atom_site_fract_x
_atom_site_fract_y
_atom_site_fract_z
Er1 Er 0.000 0.000 0.000
Er2 Er 0.113 0.000 0.422
Er3 Er 0.200 0.500 0.812
S1 S 0.000 0.500 0.500
S2 S 0.041 0.000 0.785
S3 S 0.160 0.500 0.051
S4 S 0.241 0.500 0.352

4.
# ErScS3 (SCAN, PBEsol geometry)
# * uncorrected energy: -418.95 eV for the cell shown
# * Fermi-level density of states: 0.0 states/eV/cell
# * spin magnetization: 0.0 μB per formula unit
# * formation energy (no corrections): -2.2551 eV/atom
data_ErScS3
_chemical_formula_sum 'Er4 Sc4 S12'
_space_group_name_H-M_alt 'P n m a'
_space_group_IT_number 62
_cell_length_a 6.922
_cell_length_b 9.350
_cell_length_c 6.234
_cell_angle_alpha 90.00
_cell_angle_beta 90.00
_cell_angle_gamma 90.00
loop_
_space_group_symop_operation_xyz
'x,y,z'
'-x,-y,-z'
'-x+1/2,-y,z+1/2'
'x+1/2,y,-z+1/2'
'x+1/2,-y+1/2,-z+1/2'
'-x+1/2,y+1/2,z+1/2'
'-x,y+1/2,-z'
'x,-y+1/2,z'
loop_
_atom_site_label
_atom_site_type_symbol
_atom_site_fract_x
_atom_site_fract_y
_atom_site_fract_z
Er1 Er 0.107 0.250 0.044
Sc1 Sc 0.000 0.000 0.500
S1 S 0.049 0.750 0.350
S2 S 0.182 0.572 0.830